First-principles (GGA-PBE) data for a relaxed LaTl2Ir crystal, as listed in the Alexandria database.

a = 3.8820 Å, b = 4.1920 Å, c = 7.0557 Å
α = 72.65°, β = 90.00°, γ = 90.00°
Fractional positions:
Ir (0.0000, 0.2713, 0.5830)
La (0.5000, 0.7303, 0.6646)
Tl (0.0000, 0.0609, 0.0044)
Tl (0.5000, 0.4374, 0.2480)

Calculated values
- space group = No. 6
- crystal system = monoclinic
- volume (Å³/cell) = 109.6
- N(E_F) (states/eV per cell) = 1.75
- density (Mg/m³) = 11.21
- energy relative to the elements (eV/atom) = -0.27

First-principles (GGA-PBE) data for a relaxed TaS2ClF crystal, as listed in the Alexandria database.

a = 4.1787 Å, b = 4.1787 Å, c = 4.8853 Å
α = 90.00°, β = 90.00°, γ = 90.00°
Fractional positions:
S (0.0000, 0.5000, 0.0000)
S (0.5000, 0.0000, 0.0000)
Cl (0.0000, 0.0000, 0.5000)
F (0.0000, 0.0000, 0.0000)
Ta (0.5000, 0.5000, 0.5000)

Calculated values
- space group = No. 123
- crystal system = tetragonal
- volume (Å³/cell) = 85.3
- N(E_F) (states/eV per cell) = 4.54
- density (Mg/m³) = 5.83
- raw formation energy (eV/atom) = 0.743

First-principles (GGA-PBE) data for a relaxed PrNdZnCo crystal, as listed in the Alexandria database.

a = 5.0669 Å, b = 5.0669 Å, c = 5.0669 Å
α = 60.00°, β = 60.00°, γ = 60.00°
Fractional positions:
Pr (0.5000, 0.5000, 0.5000)
Co (0.2500, 0.2500, 0.2500)
Zn (0.7500, 0.7500, 0.7500)
Nd (0.0000, 0.0000, 0.0000)

Calculated values
- space group = No. 216
- crystal system = cubic
- volume (Å³/cell) = 92.0
- N(E_F) (states/eV per cell) = 2.89
- density (Mg/m³) = 7.39
- energy relative to the elements (eV/atom) = -0.09

First-principles (GGA-PBE) data for a relaxed NaSnH crystal, as listed in the Alexandria database.

a = 3.1477 Å, b = 3.1477 Å, c = 6.4719 Å
α = 104.07°, β = 104.07°, γ = 90.00°
Fractional positions:
Na (0.3773, 0.3773, 0.7545)
Sn (0.6508, 0.6508, 0.3015)
H (0.8220, 0.8220, 0.6440)

Calculated values
- space group = No. 107
- crystal system = tetragonal
- volume (Å³/cell) = 60.2
- N(E_F) (states/eV per cell) = 0.72
- uncorrected energy (eV per cell) = -8.7
- density (Mg/m³) = 3.94

- Which of these has the lowest N(E_F)?
  NaSnH

- Among the records above, which one has the highest volume?
  LaTl2Ir